Tb2TiCrO6 | GGA+U | relaxed

```
data_Tb2TiCrO6
_cell_length_a 5.223
_cell_length_b 5.223
_cell_length_c 4.983
_cell_angle_alpha 90.00
_cell_angle_beta 90.00
_cell_angle_gamma 90.00
_space_group_name_H-M_alt 'P 1'
_space_group_IT_number 1
loop_
_space_group_symop_operation_xyz
'x,y,z'
loop_
_atom_site_label
_atom_site_type_symbol
_atom_site_fract_x
_atom_site_fract_y
_atom_site_fract_z
_atom_site_occupancy
Tb1 Tb 0.000 0.500 0.000 1
Tb2 Tb 0.500 0.000 0.000 1
Ti1 Ti 0.000 0.000 0.587 1
Cr1 Cr 0.500 0.500 0.594 1
O1 O 0.000 0.000 0.218 1
O2 O 0.240 0.240 0.732 1
O3 O 0.240 0.760 0.732 1
O4 O 0.500 0.500 0.160 1
O5 O 0.760 0.240 0.732 1
O6 O 0.760 0.760 0.732 1
```

- Final energy: -82.8 eV/cell